[1]
A plane-wave DFT calculation with PBE was carried out for a relaxed Pm2TcI crystal.

Results
Uncorrected formation energy ... -0.38 eV/atom
Size of the total moment ... 0.000 μB/f.u.
DOS at the Fermi energy ... 2.222 states/eV/f.u.

Cell: 3.6094 3.6094 8.3249 Å, 90.00 90.00 90.00°
Positions (direct):
Pm 0.0000 0.0000 0.8002
Pm 0.0000 0.0000 0.1998
Tc 0.5000 0.5000 0.0000
I 0.5000 0.5000 0.5000

---

[2]
A plane-wave DFT calculation with PBE was carried out for a relaxed ScRuN2 crystal.

Results
Uncorrected formation energy ... -0.14 eV/atom
Size of the total moment ... 0.000 μB/f.u.
DOS at the Fermi energy ... 2.836 states/eV/f.u.

Cell: 3.8459 3.8459 3.8459 Å, 60.00 60.00 60.00°
Positions (direct):
N 0.2500 0.2500 0.2500
N 0.7500 0.7500 0.7500
Sc 0.0000 0.0000 0.0000
Ru 0.5000 0.5000 0.5000

---

[3]
A plane-wave DFT calculation with PBE was carried out for a relaxed Pm3Pt2 crystal.

Results
Size of the total moment ... 0.000 μB/f.u.
DOS at the Fermi energy ... 3.779 states/eV/f.u.
DFT formation energy ... -0.89 eV per atom

Cell: 7.1664 7.1664 7.7286 Å, 62.38 62.38 60.00°
Positions (direct):
Pm 0.7500 0.3924 0.7500
Pm 0.1076 0.7500 0.7500
Pm 0.3924 0.1076 0.7500
Pm 0.8924 0.2500 0.2500
Pm 0.2500 0.6076 0.2500
Pm 0.6076 0.8924 0.2500
Pt 0.1757 0.1757 0.4729
Pt 0.3243 0.3243 0.0271
Pt 0.6757 0.6757 0.9729
Pt 0.8243 0.8243 0.5271

---

size of the total moment of number 2 (ScRuN2)?
0.000 μB/f.u.

---

Which of these has the highest DOS at the Fermi energy?
Pm3Pt2